Density functional theory data (PBE-GGA) for crystalline GeAs2SeO at its relaxed geometry.

Structure (CIF):
```
data_GeAs2SeO
_cell_length_a 4.3028
_cell_length_b 4.3028
_cell_length_c 4.9426
_cell_angle_alpha 90.00
_cell_angle_beta 90.00
_cell_angle_gamma 90.00
_symmetry_space_group_name_H-M 'P 4/m m m'
_symmetry_Int_Tables_number 123
_symmetry_space_group_name_Hall '-P 4 2'
loop_
_atom_site_label
_atom_site_type_symbol
_atom_site_fract_x
_atom_site_fract_y
_atom_site_fract_z
Ge1 Ge 0.0000 0.0000 0.0000
As1 As 0.0000 0.5000 0.5000
Se1 Se 0.5000 0.5000 0.0000
O1 O 0.5000 0.5000 0.5000
```

Output
Distance to the lowest polymorph of the same formula   0 meV per atom
Raw formation energy   1.6 eV/f.u.
DOS at the Fermi energy   2.4 states/eV/cell
Calculated volume   91.5 Å³/f.u.
E_tot   -4.15 eV per atom